FeIrBr4: relaxed, GGA-PBE.

Cell: 5.985 5.985 5.985 Å, 60.00 60.00 60.00°
Fractional positions:
Fe 0.000 0.000 0.000
Ir 0.750 0.750 0.750
Br 0.375 0.375 0.375
Br 0.375 0.375 0.874
Br 0.375 0.874 0.375
Br 0.874 0.375 0.375

Size of the total moment ... 4.763 μB/f.u.
Space-group type ... F-43m, No. 216
Formation energy without anion corrections ... 1.731 eV/atom
DOS at the Fermi energy ... 11.26 states/eV/f.u.

***

La8FeIr3Br4: relaxed, GGA-PBE.

Cell: 9.257 9.257 9.257 Å, 53.62 53.62 53.62°
Fractional positions:
La 0.232 0.232 0.232
La 0.241 0.726 0.726
La 0.274 0.274 0.759
La 0.274 0.759 0.274
La 0.726 0.241 0.726
La 0.726 0.726 0.241
La 0.759 0.274 0.274
La 0.768 0.768 0.768
Fe 0.500 0.500 0.500
Ir 0.000 0.000 0.500
Ir 0.000 0.500 0.000
Ir 0.500 0.000 0.000
Br 0.000 0.000 0.000
Br 0.000 0.500 0.500
Br 0.500 0.000 0.500
Br 0.500 0.500 0.000

Size of the total moment ... 0.000 μB/f.u.
Space-group type ... R-3m, No. 166
Formation energy without anion corrections ... -1.081 eV/atom
DOS at the Fermi energy ... 4.84 states/eV/f.u.

***

LiFe2IrBr: relaxed, GGA-PBE.

Cell: 4.402 4.402 4.688 Å, 90.00 90.00 90.00°
Fractional positions:
Li 0.000 0.000 0.000
Fe 0.000 0.500 0.500
Fe 0.500 0.000 0.500
Ir 0.500 0.500 0.000
Br 0.500 0.500 0.500

Size of the total moment ... 5.026 μB/f.u.
Space-group type ... P4/mmm, No. 123
Formation energy without anion corrections ... 1.132 eV/atom
DOS at the Fermi energy ... 3.85 states/eV/f.u.

***

FeMoIrBr2: relaxed, GGA-PBE.

Cell: 5.105 5.105 4.903 Å, 90.00 90.00 90.00°
Fractional positions:
Fe 0.000 0.000 0.000
Mo 0.500 0.500 0.000
Ir 0.500 0.500 0.500
Br 0.000 0.500 0.500
Br 0.500 0.000 0.500

Size of the total moment ... 6.235 μB/f.u.
Space-group type ... P4/mmm, No. 123
Formation energy without anion corrections ... 1.471 eV/atom
DOS at the Fermi energy ... 4.96 states/eV/f.u.

***

NaFeIrBr2: relaxed, GGA-PBE.

Cell: 5.269 5.269 4.751 Å, 90.00 90.00 90.00°
Fractional positions:
Na 0.000 0.000 0.000
Fe 0.500 0.500 0.000
Ir 0.500 0.500 0.500
Br 0.000 0.500 0.500
Br 0.500 0.000 0.500

Size of the total moment ... 3.799 μB/f.u.
Space-group type ... P4/mmm, No. 123
Formation energy without anion corrections ... 0.302 eV/atom
DOS at the Fermi energy ... 6.80 states/eV/f.u.

***

FeIr2RhBr: relaxed, GGA-PBE.

Cell: 4.605 4.605 4.527 Å, 90.00 90.00 90.00°
Fractional positions:
Fe 0.000 0.000 0.000
Ir 0.000 0.500 0.500
Ir 0.500 0.000 0.500
Rh 0.500 0.500 0.000
Br 0.500 0.500 0.500

Size of the total moment ... 4.561 μB/f.u.
Space-group type ... P4/mmm, No. 123
Formation energy without anion corrections ... 1.738 eV/atom
DOS at the Fermi energy ... 8.01 states/eV/f.u.

***

FeIr2RuBr: relaxed, GGA-PBE.

Cell: 4.479 4.479 4.623 Å, 90.00 90.00 90.00°
Fractional positions:
Fe 0.000 0.000 0.000
Ir 0.000 0.500 0.000
Ir 0.500 0.000 0.000
Ru 0.500 0.500 0.500
Br 0.000 0.000 0.500

Size of the total moment ... 2.911 μB/f.u.
Space-group type ... P4/mmm, No. 123
Formation energy without anion corrections ... 1.728 eV/atom
DOS at the Fermi energy ... 8.83 states/eV/f.u.

***

FeIrRu2Br: relaxed, GGA-PBE.

Cell: 4.769 4.769 4.773 Å, 90.00 90.00 90.00°
Fractional positions:
Fe 0.000 0.000 0.000
Ir 0.000 0.000 0.500
Ru 0.000 0.500 0.500
Ru 0.500 0.000 0.500
Br 0.500 0.500 0.000

Size of the total moment ... 5.690 μB/f.u.
Space-group type ... P4/mmm, No. 123
Formation energy without anion corrections ... 1.534 eV/atom
DOS at the Fermi energy ... 6.87 states/eV/f.u.

***

ScFe2IrBr: relaxed, GGA-PBE.

Cell: 4.470 4.470 4.835 Å, 90.00 90.00 90.00°
Fractional positions:
Sc 0.000 0.000 0.000
Fe 0.000 0.500 0.000
Fe 0.500 0.000 0.000
Ir 0.500 0.500 0.500
Br 0.000 0.000 0.500

Size of the total moment ... 5.182 μB/f.u.
Space-group type ... P4/mmm, No. 123
Formation energy without anion corrections ... 1.528 eV/atom
DOS at the Fermi energy ... 4.93 states/eV/f.u.

***

FeIrSe2Br: relaxed, GGA-PBE.

Cell: 4.891 4.891 5.111 Å, 90.00 90.00 90.00°
Fractional positions:
Fe 0.000 0.000 0.000
Ir 0.500 0.500 0.500
Se 0.000 0.500 0.500
Se 0.500 0.000 0.500
Br 0.500 0.500 0.000

Size of the total moment ... 3.864 μB/f.u.
Energy above the lowest structure with this stoichiometry ... 0.000 eV/atom
Space-group type ... P4/mmm, No. 123
Formation energy without anion corrections ... 0.829 eV/atom
DOS at the Fermi energy ... 7.32 states/eV/f.u.

***

FeIrSeBr2: relaxed, GGA-PBE.

Cell: 5.211 5.211 4.739 Å, 90.00 90.00 90.00°
Fractional positions:
Fe 0.000 0.000 0.000
Ir 0.500 0.500 0.500
Se 0.500 0.500 0.000
Br 0.000 0.500 0.500
Br 0.500 0.000 0.500

Size of the total moment ... 3.770 μB/f.u.
Energy above the lowest structure with this stoichiometry ... 0.000 eV/atom
Space-group type ... P4/mmm, No. 123
Formation energy without anion corrections ... 0.761 eV/atom
DOS at the Fermi energy ... 6.33 states/eV/f.u.

***

Fe2IrWBr: relaxed, GGA-PBE.

Cell: 4.178 4.178 4.621 Å, 90.00 90.00 90.00°
Fractional positions:
Fe 0.000 0.500 0.000
Fe 0.500 0.000 0.000
Ir 0.000 0.000 0.500
W 0.500 0.500 0.500
Br 0.500 0.500 0.000

Size of the total moment ... 3.838 μB/f.u.
Space-group type ... P4/mmm, No. 123
Formation energy without anion corrections ... 1.668 eV/atom
DOS at the Fermi energy ... 8.21 states/eV/f.u.